Entry 1:
Here is an optimized crystal structure of NpMnRh6 from Alexandria via LeMat-Bulk. Energies are from PBE-GGA.

The space group is P4/mmm (No. 123) and the conventional cell measures 5.541, 5.541 and 3.945 Å, with angles of 90.00, 90.00 and 90.00 degrees. The asymmetric unit holds Np at (0.000, 0.000, 0.000), Mn at (0.500, 0.500, 0.000), Rh at (0.000, 0.500, 0.000) and Rh at (0.253, 0.253, 0.500).

For the total energy, the calculation gives -8.538 eV per atom.

---

Entry 2:
Here is an optimized crystal structure of Mn2Al2Cd from Alexandria via LeMat-Bulk. Energies are from PBE-GGA.

The space group is P4/mbm (No. 127) and the conventional cell measures 7.365, 7.365 and 2.845 Å, with angles of 90.00, 90.00 and 90.00 degrees. The asymmetric unit holds Mn at (0.123, 0.377, 0.000), Al at (0.171, 0.671, 0.500) and Cd at (0.000, 0.000, 0.000).

The calculation puts the energy above the lowest structure with this stoichiometry at 34 meV/atom. For the total energy, the calculation gives -5.323 eV per atom.

---

What is the total energy in the first record? -8.538 eV per atom